DFT (PBE) results for a geometry-optimized Li2CoAu structure.

Density = 7.37 Mg/m³
Energy of formation from the pure elements = 0.112 eV/atom
DOS at the Fermi energy = 0.82 states/eV per atom
Crystal system = trigonal
Electronic total energy = -13.8 eV per cell

a b c (Å): 9.323 9.323 9.323
angles (deg): 17.06 17.06 17.06
Positions (direct):
Li (0.000, 0.000, 0.000)
Li (0.237, 0.237, 0.237)
Co (0.742, 0.742, 0.742)
Au (0.491, 0.491, 0.491)